{
  "formula": "Sr2Ag3Sn5",
  "functional": "PBE",
  "state": "relaxed",
  "lattice": [[6.6919, 0.0000, 0.0000], [3.3460, 9.0149, -0.3258], [3.3460, 1.0686, 8.9573]],
  "species": ["Ag", "Sr", "Sn", "Ag", "Ag", "Sn", "Sr", "Sn", "Sr", "Sr", "Ag", "Sn", "Ag", "Sn", "Sn", "Sn", "Sn", "Ag", "Sn", "Sn"],
  "frac_coords": [[0.7500, 0.0000, 0.0000], [0.1271, 0.6183, 0.1274], [0.6124, 0.7435, 0.0317], [0.1301, 0.2352, 0.5045], [0.6301, 0.5045, 0.2352], [0.5046, 0.2454, 0.2454], [0.6271, 0.1274, 0.6183], [0.8876, 0.9683, 0.2565], [0.3729, 0.8726, 0.3817], [0.8729, 0.3817, 0.8726], [0.2500, 0.0000, 0.0000], [0.2500, 0.5000, 0.5000], [0.8699, 0.7648, 0.4955], [0.4954, 0.7546, 0.7546], [0.0046, 0.2454, 0.2454], [0.1124, 0.0317, 0.7435], [0.3876, 0.2565, 0.9683], [0.3699, 0.4955, 0.7648], [0.9954, 0.7546, 0.7546], [0.7500, 0.5000, 0.5000]],
  "m_tot_mub_per_fu": 0.0,
  "dos_ef_per_ev_cell": 6.655,
  "e_tot_ev_per_atom": -3.5403
}

=====

{
  "formula": "BaTi2N3",
  "functional": "PBE",
  "state": "relaxed",
  "lattice": [[-1.0061, 2.2889, -2.7099], [2.3604, -2.2132, -2.7457], [-8.2072, -6.1202, -2.1222]],
  "species": ["Ti", "N", "N", "Ba", "Ti", "N", "Ti", "N", "Ti", "N", "Ba", "N"],
  "frac_coords": [[0.7500, 0.2500, 0.0610], [0.2500, 0.2500, 0.9725], [0.2500, 0.7500, 0.7500], [0.2500, 0.7500, 0.2500], [0.7500, 0.2500, 0.4390], [0.2500, 0.2500, 0.5275], [0.2500, 0.7500, 0.5610], [0.7500, 0.7500, 0.0275], [0.2500, 0.7500, 0.9390], [0.7500, 0.7500, 0.4725], [0.7500, 0.2500, 0.7500], [0.7500, 0.2500, 0.2500]],
  "e_form_raw_mev_per_atom": -1321,
  "m_tot_mub_per_fu": 0.0,
  "dos_ef_per_ev_cell": 4.924
}